Record 1
Computed, not measured: a relaxed structure of SrCa2P at the GGA-PBE level of DFT.

Lattice parameters (Å, degrees): 3.7867 5.3674 13.1436 90.00 90.00 90.00
Space group Immm (No. 71)
Inequivalent atoms, fractional coordinates:
Sr  0.0000  0.0000  0.0000
Ca  0.0000  0.5000  0.1684
P  0.0000  0.0000  0.5000

E_form (eV/atom): -0.565
Total moment (μB/atom): 0.0000

***

Record 2
Computed, not measured: a relaxed structure of CaTcSb2 at the GGA-PBE level of DFT.

Lattice parameters (Å, degrees): 8.2388 3.5273 6.7012 90.00 102.25 90.00
Space group C2/m (No. 12)
Inequivalent atoms, fractional coordinates:
Ca  0.0000  0.0000  0.0000
Tc  0.0000  0.5000  0.5000
Sb  0.2345  0.0000  0.6946

E above lowest polymorph (meV per atom): 0.0
Total moment (μB/atom): 0.0000
Uncorrected formation energy (eV/atom): -0.240

***

Record 3
Computed, not measured: a relaxed structure of NdY2HoEr5 at the GGA-PBE level of DFT.

Lattice parameters (Å, degrees): 5.5952 19.6635 10.5548 90.00 90.00 90.00
Space group Cmc2_1 (No. 36)
Inequivalent atoms, fractional coordinates:
Nd  0.0000  0.0833  0.0000
Y  0.0000  0.3870  0.8653
Y  0.0000  0.3894  0.2799
Ho  0.0000  0.2988  0.5575
Er  0.0000  0.0209  0.2825
Er  0.0000  0.1113  0.5675
Er  0.0000  0.2016  0.2551
Er  0.0000  0.2177  0.8571
Er  0.0000  0.4809  0.5712

E_form (eV/atom): 0.159
Total moment (μB/atom): 0.0000

***

Record 4
Computed, not measured: a relaxed structure of Tb4NdMg2 at the GGA-PBE level of DFT.

Lattice parameters (Å, degrees): 5.5718 5.5718 15.9847 90.00 90.00 90.00
Space group I4/mmm (No. 139)
Inequivalent atoms, fractional coordinates:
Tb  0.0000  0.0000  0.1876
Tb  0.0000  0.5000  0.0000
Nd  0.0000  0.0000  0.0000
Mg  0.0000  0.0000  0.3888

E_form (eV/atom): 0.655
Total moment (μB/atom): 0.1619

***

Record 5
Computed, not measured: a relaxed structure of TlPb2Se at the GGA-PBE level of DFT.

Lattice parameters (Å, degrees): 4.0078 4.0620 7.2518 90.00 90.33 90.00
Space group P2/m (No. 10)
Inequivalent atoms, fractional coordinates:
Tl  0.0000  0.0000  0.0000
Pb  0.4960  0.5000  0.7172
Se  0.0000  0.0000  0.5000

E above lowest polymorph (meV per atom): 43.2
Total moment (μB/atom): 0.0000
Uncorrected formation energy (eV/atom): -0.109

***

Record 6
Computed, not measured: a relaxed structure of IrOs2Au at the GGA-PBE level of DFT.

Lattice parameters (Å, degrees): 2.7430 4.7562 9.6405 90.00 90.00 90.00
Space group Cmm2 (No. 35)
Inequivalent atoms, fractional coordinates:
Ir  0.0000  0.0000  0.0000
Os  0.0000  0.0000  0.4709
Os  0.0000  0.5000  0.2383
Au  0.0000  0.5000  0.7370

E_form (eV/atom): 0.580
E above lowest polymorph (meV per atom): 324.7
Total moment (μB/atom): 0.2554

***

Record 7
Computed, not measured: a relaxed structure of Ac8Ir3RhAu3 at the GGA-PBE level of DFT.

Lattice parameters (Å, degrees): 8.7689 8.7689 22.2515 90.00 90.00 120.00
Space group R-3m (No. 166, hexagonal axes)
Inequivalent atoms, fractional coordinates:
Ac  0.0000  0.0000  0.2401
Ac  0.0026  0.5013  0.2393
Ir  0.0000  0.5000  0.5000
Rh  0.0000  0.0000  0.5000
Au  0.0000  0.5000  0.0000

E_form (eV/atom): -0.742
Total moment (μB/atom): 0.0000

***

Record 8
Computed, not measured: a relaxed structure of SrCoCl at the GGA-PBE level of DFT.

Lattice parameters (Å, degrees): 4.9843 4.9843 8.2136 90.00 90.00 120.00
Space group P6_3/mmc (No. 194)
Inequivalent atoms, fractional coordinates:
Sr  0.3333  0.6667  0.2500
Co  0.0000  0.0000  0.0000
Cl  0.0000  0.0000  0.2500

Total moment (μB/atom): 0.0698
Uncorrected formation energy (eV/atom): -0.170

***

Record 9
Computed, not measured: a relaxed structure of CsCdAsAu at the GGA-PBE level of DFT.

Lattice parameters (Å, degrees): 4.2248 4.2248 14.0741 90.00 90.00 90.00
Space group P4/nmm (No. 129, origin choice 2)
Inequivalent atoms, fractional coordinates:
Cs  0.2500  0.2500  0.2213
Cd  0.2500  0.7500  0.5000
As  0.2500  0.2500  0.6261
Au  0.2500  0.7500  0.0000

E_form (eV/atom): -0.208
Total moment (μB/atom): 0.0000

***

- Look up the total moment of the second one.
  0.0000 μB/atom